No. 1
8
Lattice="-1.154 0.216 3.073 -4.219 -5.914 -1.169 4.947 -3.951 2.135" Properties=species:S:1:pos:R:3 comment="PBE-GGA CdHgPO, relaxed" e_tot_ev_per_fu=-12.047 relative_energy_mev_per_atom=0 space_group="No. 26" pbc="T T T"
Cd -1.955 -2.353 1.192
Cd -0.464 -5.705 1.987
Hg 1.267 -8.833 1.096
Hg 1.683 -2.807 0.829
P 3.565 -4.342 1.644
P -1.769 -6.376 -0.216
O 1.067 -7.089 2.660
O -0.278 -3.532 1.905



No. 2
20
Lattice="6.841 0.002 0.007 3.290 6.431 -0.022 2.961 0.867 6.642" Properties=species:S:1:pos:R:3 comment="PBE-GGA CdHg2SO6, relaxed" e_tot_ev_per_fu=-44.905 space_group="No. 2" pbc="T T T"
O 6.793 5.255 0.881
O 1.104 0.858 1.097
O 5.589 1.309 1.090
O 9.829 6.379 2.841
O 6.301 2.045 5.746
O 6.116 4.938 3.847
O 3.356 3.233 1.857
O 7.504 5.991 5.536
O 3.265 0.921 3.785
O 11.989 6.442 5.530
O 6.978 2.362 2.780
O 9.738 4.067 4.770
Hg 8.030 3.031 5.166
Hg 8.515 4.295 1.461
Hg 4.578 3.005 5.166
Hg 5.063 4.269 1.460
Cd 3.353 1.025 1.493
Cd 9.740 6.275 5.133
S 6.772 1.135 1.981
S 6.321 6.165 4.646



No. 3
16
Lattice="6.657 0.000 0.000 0.000 7.984 0.000 0.000 0.000 6.622" Properties=species:S:1:pos:R:3 comment="PBE-GGA CdHgSeO, relaxed" e_tot_ev_per_fu=-11.332 relative_energy_mev_per_atom=97 space_group="No. 29" pbc="T T T"
Se 0.238 5.288 0.993
Se 6.419 2.696 4.304
Se 3.091 5.288 4.304
Se 3.567 2.696 0.993
O 2.968 0.825 4.115
O 0.361 0.825 0.804
O 3.689 7.159 0.804
O 6.297 7.159 4.115
Hg 4.514 7.230 2.811
Hg 1.185 0.754 2.811
Hg 5.472 7.230 6.122
Hg 2.143 0.754 6.122
Cd 2.810 5.141 0.358
Cd 3.848 2.843 3.669
Cd 6.138 2.843 0.358
Cd 0.519 5.141 3.669